BaLa2Cd | PBE | relaxed

Summary:
final energy	-3.23	eV/atom
energy relative to the lowest polymorph listed for this composition	0.19	eV per formula unit
E_form	-0.058	eV/atom

```
data_BaLa2Cd
_chemical_formula_sum 'Ba1 La2 Cd1'
_cell_length_a 4.008
_cell_length_b 4.008
_cell_length_c 9.730
_cell_angle_alpha 90.00
_cell_angle_beta 90.00
_cell_angle_gamma 90.00
_symmetry_space_group_name_H-M 'P 1'
_symmetry_Int_Tables_number 1
loop_
_symmetry_equiv_pos_as_xyz
'x,y,z'
loop_
_atom_site_label
_atom_site_type_symbol
_atom_site_fract_x
_atom_site_fract_y
_atom_site_fract_z
Ba1 Ba 0.000 0.000 0.000
La1 La 0.500 0.500 0.312
La2 La 0.500 0.500 0.688
Cd1 Cd 0.000 0.000 0.500
```